Al2FeTe4: relaxed, PBE.

Values from the calculation:
Size of the total moment (μB/f.u.): 3.97
Total DFT energy (no corrections) (eV/atom): -4.257

Cell lengths 11.511, 11.511, 11.511 Å; angles 90.00, 90.00, 90.00 degrees
Space group Fd-3m (No. 227, origin choice 2)
One atom of each set of equivalent atoms:
Al  0.000  0.000  0.000 [16 per cell]
Fe  0.125  0.125  0.625 [8 per cell]
Te  0.006  0.006  0.244 [32 per cell]